(1)
Here is a relaxed structure of LaNd2Mg from Alexandria. Energies are from GGA-PBE.

Cell: 5.7064 5.7064 5.7064 Å, 60.00 60.00 60.00°
Positions (direct):
Mg (0.0000, 0.0000, 0.0000)
Nd (0.7500, 0.7500, 0.7500)
La (0.5000, 0.5000, 0.5000)
Nd (0.2500, 0.2500, 0.2500)

Formation energy from the elements   73 meV/atom
Total magnetization   0.0 μB/cell
Excess energy over the best structure of this formula in the dataset   2.65 kcal/mol of atoms
DOS at the Fermi energy   1.64 states/eV per atom
Energy   -3.942 eV/atom

***

(2)
Here is a relaxed structure of Pr5TmTl8 from Alexandria. Energies are from GGA-PBE.

Cell: 8.2424 8.2424 8.2424 Å, 108.93 110.57 108.93°
Positions (direct):
Tl (0.8008, 0.2611, 0.3914)
Pr (0.3689, 0.1235, 0.0105)
Pr (0.9895, 0.3584, 0.1130)
Pr (0.5000, 0.0000, 0.5000)
Tm (0.2500, 0.5000, 0.7500)
Tl (0.9704, 0.0951, 0.6998)
Tl (0.4603, 0.5906, 0.1992)
Pr (0.7546, 0.6416, 0.6311)
Tl (0.6086, 0.4094, 0.8698)
Pr (0.8870, 0.8765, 0.2454)
Tl (0.1247, 0.7293, 0.0296)
Tl (0.6047, 0.9049, 0.8753)
Tl (0.1302, 0.7389, 0.5397)
Tl (0.3002, 0.2707, 0.3953)

Formation energy from the elements   -293 meV/atom
Total magnetization   0.0 μB/cell
DOS at the Fermi energy   0.86 states/eV per atom
Energy   -3.671 eV/atom

***

Look up the energy of the first one.
-3.942 eV/atom